Here is a relaxed structure of CaMnZn2F8 from the Alexandria database. Energies are from PBE with a Hubbard U.

Summary:
energy = -5.039 eV/atom
size of the total moment = 0.417 μB per atom
theoretical density = 4.11 g/cm³
D(E_F) = 0.00 states/eV/cell

Structure (CIF):
```
data_CaMnZn2F8
_cell_length_a 5.266
_cell_length_b 5.266
_cell_length_c 11.012
_cell_angle_alpha 90.00
_cell_angle_beta 90.00
_cell_angle_gamma 90.00
_space_group_name_H-M_alt 'I -4'
_space_group_IT_number 82
_space_group_name_Hall 'I -4'
loop_
_atom_site_label
_atom_site_type_symbol
_atom_site_fract_x
_atom_site_fract_y
_atom_site_fract_z
Ca1 Ca 0.000 0.000 0.000
Mn1 Mn 0.000 0.500 0.250
Zn1 Zn 0.000 0.000 0.500
Zn2 Zn 0.000 0.500 0.750
F1 F 0.180 0.265 0.409
F2 F 0.192 0.766 0.835
```